Entry from Alexandria via LeMat-Bulk: Dy3CuPd3 after structural relaxation (PBE-GGA).

space group	Imm2
energy of formation	-504	kJ/mol of formula units
E	-38.70	eV per cell

Structure (extended XYZ):
```
7
Lattice="-1.8634 2.1309 9.4472 1.8634 -2.1309 9.4472 1.8634 2.1309 -9.4472" Properties=species:S:1:pos:R:3 pbc="T T T"
Dy 0.0000 0.0000 0.0000
Dy 0.0000 0.0000 7.0192
Dy 0.0000 2.1309 3.4645
Cu 1.8634 0.0000 4.7827
Pd 1.8634 0.0000 2.3028
Pd 0.0000 0.0000 9.9759
Pd 0.0000 0.0000 15.7507
```

=====

Entry from Alexandria via LeMat-Bulk: Dy8Cu2Pd after structural relaxation (PBE-GGA).

space group	Cm
energy of formation	-118	kJ/mol of formula units
E above lowest polymorph	113.6	meV/atom
E	-51.42	eV per cell

Structure (extended XYZ):
```
11
Lattice="4.1826 -6.5274 0.0000 4.1826 6.5274 0.0000 -1.9169 0.0000 5.4526" Properties=species:S:1:pos:R:3 pbc="T T T"
Dy 0.0000 0.0000 0.0000
Dy 0.1960 1.6552 3.1254
Dy 2.7353 2.7824 1.0141
Dy 0.1960 -1.6552 3.1254
Dy 3.3678 1.6568 4.2983
Dy 2.7353 -2.7824 1.0141
Dy 3.3678 -1.6568 4.2983
Dy 5.4830 0.0000 2.0478
Cu 1.7897 3.9723 3.7677
Cu 1.7897 -3.9723 3.7677
Pd 2.4968 0.0000 1.7685
```

=====

Entry from Alexandria via LeMat-Bulk: Dy3CuPd after structural relaxation (PBE-GGA).

space group	Pmmn
energy of formation	-170	kJ/mol of formula units
E	-49.72	eV per cell

Structure (extended XYZ):
```
10
Lattice="3.7575 0.0000 0.0000 0.0000 7.0527 0.0000 0.0000 0.0000 9.5186" Properties=species:S:1:pos:R:3 pbc="T T T"
Dy 0.9394 0.0387 1.7418
Dy 0.9394 1.7632 5.2751
Dy 0.9394 3.4877 1.7418
Dy 2.8181 3.5651 7.7767
Dy 2.8181 5.2896 4.2435
Dy 2.8181 7.0141 7.7767
Cu 0.9394 1.7632 8.8974
Cu 2.8181 5.2896 0.6212
Pd 0.9394 5.2896 6.3296
Pd 2.8181 1.7632 3.1890
```

=====

Entry from Alexandria via LeMat-Bulk: Dy12CuPd6 after structural relaxation (PBE-GGA).

space group	R-3
energy of formation	-831	kJ/mol of formula units
E	-99.09	eV per cell

Structure (extended XYZ):
```
19
Lattice="6.3608 3.6724 3.7935 -6.3608 3.6724 3.7935 0.0000 -7.3448 3.7935" Properties=species:S:1:pos:R:3 pbc="T T T"
Dy -4.0118 -4.1163 6.2580
Dy -5.5708 1.4162 5.1226
Dy -1.5158 -2.0262 4.4089
Dy 1.5589 -5.5325 5.1226
Dy -0.9968 2.3258 4.4089
Dy -2.5126 0.2996 6.9717
Dy 2.5126 -0.2996 4.4089
Dy 0.9968 -2.3258 6.9717
Dy -1.5589 5.5325 6.2580
Dy 1.5158 2.0262 6.9717
Dy 5.5708 -1.4162 6.2580
Dy 4.0118 4.1163 5.1226
Cu 0.0000 0.0000 0.0000
Pd -3.0964 0.4826 4.0604
Pd 1.1302 -2.9229 4.0604
Pd -1.9662 -2.4402 7.3202
Pd 1.9662 2.4402 4.0604
Pd -1.1302 2.9229 7.3202
Pd 3.0964 -0.4826 7.3202
```

=====

- Among the records above, which one has the lowest E?
  Dy12CuPd6